Record 1
Compound: CaNd12Rh7
Source: Alexandria
Functional: PBE-GGA
Structure: relaxed

Cell: 9.0299 9.0299 9.0299 Å, 107.16 107.16 107.16°
Last column: nearest neighbours and their distance in Å.
Positions (direct):
Rh1 0.5000 0.5000 0.5000  6 Nd 2.83
Rh2 0.6408 0.8757 0.9614  5 Nd 2.77-2.85, 1 Ca 2.98
Rh3 0.3592 0.1243 0.0386  5 Nd 2.77-2.85, 1 Ca 2.98
Rh4 0.8757 0.9614 0.6408  5 Nd 2.77-2.85, 1 Ca 2.98
Rh5 0.0386 0.3592 0.1243  5 Nd 2.77-2.85, 1 Ca 2.98
Rh6 0.1243 0.0386 0.3592  5 Nd 2.77-2.85, 1 Ca 2.98
Rh7 0.9614 0.6408 0.8757  5 Nd 2.77-2.85, 1 Ca 2.98
Nd1 0.2235 0.0762 0.6936  3 Rh 2.77-2.84
Nd2 0.6187 0.5386 0.8427  3 Rh 2.83-2.85
Nd3 0.8427 0.6187 0.5386  3 Rh 2.83-2.85
Nd4 0.0762 0.6936 0.2235  3 Rh 2.77-2.84
Nd5 0.1573 0.3813 0.4614  3 Rh 2.83-2.85
Nd6 0.5386 0.8427 0.6187  3 Rh 2.83-2.85
Nd7 0.3064 0.7765 0.9238  3 Rh 2.77-2.84
Nd8 0.3813 0.4614 0.1573  3 Rh 2.83-2.85
Nd9 0.9238 0.3064 0.7765  3 Rh 2.77-2.84
Nd10 0.6936 0.2235 0.0762  3 Rh 2.77-2.84
Nd11 0.4614 0.1573 0.3813  3 Rh 2.83-2.85
Nd12 0.7765 0.9238 0.3064  3 Rh 2.77-2.84
Ca1 0.0000 0.0000 0.0000  6 Rh 2.98

Properties
Its spin magnetization is 0.00 μB/cell. The value obtained for the density of states at the Fermi level is 15.866 states/eV per cell. The formation energy from the elements comes out at -0.426 eV per atom.



Record 2
Compound: CaNd3Rh4
Source: Alexandria
Functional: PBE-GGA
Structure: relaxed

Cell: 4.9816 4.9816 8.5818 Å, 73.13 73.13 60.00°
Last column: nearest neighbours and their distance in Å.
Positions (direct):
Rh1 0.8733 0.8733 0.3802  7 Nd 3.03-3.09, 1 Ca 3.07
Rh2 0.3774 0.3774 0.8678  5 Nd 2.97-3.01, 3 Ca 3.07
Rh3 0.1267 0.1267 0.6198  7 Nd 3.03-3.09, 1 Ca 3.07
Rh4 0.6226 0.6226 0.1322  5 Nd 2.97-3.01, 3 Ca 3.07
Nd1 0.7465 0.7465 0.7605  8 Rh 3.00-3.09
Nd2 0.2535 0.2535 0.2395  8 Rh 3.00-3.09
Nd3 0.5000 0.5000 0.5000  8 Rh 2.97-3.03
Ca1 0.0000 0.0000 0.0000  8 Rh 3.07

Properties
Its spin magnetization is 0.00 μB/cell. The value obtained for the density of states at the Fermi level is 4.535 states/eV per cell. The formation energy from the elements comes out at -0.586 eV per atom.